# 1
Computed, not measured: CoC4 after structural relaxation at the PBEsol level of DFT.

Structure (POSCAR):
```
CoC4
1.0
-1.355 0.591 -2.116
-0.717 -1.991 1.478
-3.408 3.593 3.186
Co C
1 4
Direct
0.000 0.000 0.000
0.333 0.667 0.204
0.667 0.333 0.546
0.333 0.667 0.454
0.667 0.333 0.796
```

Output
Relative energy among the computed polymorphs, meV/atom: 0
Symmetry: P-3m1
Density, g/cm³: 5.2
Electronic total energy, eV per atom: -8.70
Energy of formation, eV per atom: 0.566
Volume, Å³ per cell: 33.98

***

# 2
Computed, not measured: Hg2WBr after structural relaxation at the PBEsol level of DFT.

Structure (POSCAR):
```
Hg2WBr
1.0
-2.617 0.437 -1.125
1.520 -1.203 -3.999
-1.078 -6.007 3.866
Hg W Br
2 1 1
Direct
0.810 0.810 0.620
0.190 0.190 0.380
0.500 0.000 0.000
0.000 0.500 0.000
```

Output
Relative energy among the computed polymorphs, meV/atom: 52
Symmetry: Immm
Density, g/cm³: 12.8
Electronic total energy, eV per atom: -3.48
Raw formation energy, eV/atom: 0.726
Volume, Å³ per cell: 86.08

***

# 3
Computed, not measured: Li2MgCr3S6O24 after structural relaxation at the PBEsol level of DFT.

Structure (POSCAR):
```
Li2MgCr3S6O24
1.0
8.216 -0.017 0.011
-4.063 7.170 -0.009
-0.016 -4.654 7.520
S O Cr Mg Li
6 24 3 1 2
Direct
0.754 0.801 0.252
0.045 0.499 0.246
0.966 0.506 0.748
0.250 0.215 0.748
0.537 0.781 0.743
0.451 0.201 0.252
0.711 0.601 0.094
0.019 0.350 0.307
0.347 0.628 0.601
0.293 0.268 0.603
0.246 0.615 0.235
0.632 0.996 0.759
0.042 0.032 0.690
0.510 0.804 0.914
0.316 0.276 0.290
0.498 0.195 0.092
0.622 0.866 0.231
0.901 0.368 0.073
0.633 0.359 0.409
0.987 0.649 0.684
0.112 0.634 0.918
0.282 0.406 0.911
0.362 0.986 0.235
0.017 0.672 0.379
0.386 0.156 0.771
0.765 0.390 0.763
0.725 0.769 0.409
0.960 0.981 0.300
0.983 0.321 0.613
0.669 0.700 0.696
0.154 0.306 0.451
0.848 0.687 0.531
0.356 0.715 0.070
0.649 0.291 0.942
0.572 0.385 0.630
0.821 0.059 0.630
```

Output
Symmetry: P1
Density, g/cm³: 2.9
Electronic total energy, eV per atom: -6.89
Raw formation energy, eV/atom: -1.650
Volume, Å³ per cell: 442.34

***

# 4
Computed, not measured: SbIrPtI2 after structural relaxation at the PBEsol level of DFT.

Structure (POSCAR):
```
SbIrPtI2
1.0
-4.483 -1.342 -2.037
-0.777 -3.405 3.952
-2.398 3.782 2.787
Pt Sb I Ir
1 1 2 1
Direct
0.000 0.000 0.000
0.500 0.000 0.000
0.000 0.000 0.500
0.000 0.500 0.000
0.500 0.500 0.500
```

Output
Symmetry: P4/mmm
Density, g/cm³: 8.9
Electronic total energy, eV per atom: -3.64
Raw formation energy, eV/atom: 1.333
Volume, Å³ per cell: 141.97